Hf3NbGa | Alexandria via LeMat-Bulk | PBE | optimized geometry; formation enthalpy at 0 K = 1.03 eV/atom; offset from the most stable computed form = 686.8 meV/atom; total magnetization = 0.00 μB per cell
1.0
5.063 0.000 0.000
0.000 5.063 0.000
0.000 0.000 5.063
Hf Nb Ga
3 1 1
Direct
0.000 0.500 0.000 Hf
0.000 0.000 0.500 Hf
0.500 0.000 0.000 Hf
0.000 0.000 0.000 Nb
0.500 0.500 0.500 Ga